1.
{"formula": "TbTmSiPt", "functional": "PBE", "state": "optimized geometry", "m_tot_mub_per_cell": 0.00, "mass_density_g_cm3": 10.38, "raw_formation_energy_ev_per_atom": -1.04, "space_group": "Amm2 (38)", "cell": [[-0.862, 2.978, -2.486], [-2.771, -2.426, -1.946], [-3.374, 0.188, 4.571]], "species": ["Tb", "Tm", "Si", "Pt"], "fractional_positions": [[0.858, 0.500, 0.717], [0.141, 0.000, 0.281], [0.578, 0.500, 0.155], [0.423, 0.000, 0.847]]}


2.
{"formula": "K2RbNaSb", "functional": "PBE", "state": "optimized geometry", "m_tot_mub_per_cell": 1.01, "mass_density_g_cm3": 1.54, "raw_formation_energy_ev_per_atom": -0.10, "relative_energy_kj_per_mol_atoms": 9.7, "space_group": "P4/mmm (123)", "cell": [[-5.486, 2.094, 3.487], [2.459, -2.956, 5.644], [3.376, 6.033, 1.689]], "species": ["Sb", "K", "K", "Rb", "Na"], "fractional_positions": [[0.000, 0.000, 0.000], [0.000, 0.500, 0.000], [0.500, 0.000, 0.000], [0.000, 0.000, 0.500], [0.500, 0.500, 0.500]]}


3.
{"formula": "BeTc2Mo", "functional": "PBE", "state": "optimized geometry", "m_tot_mub_per_cell": 0.00, "mass_density_g_cm3": 8.87, "delta_e_f_mev_per_atom": 514, "space_group": "I-42d (122)", "cell": [[6.949, 0.000, 0.000], [0.000, 6.949, 0.000], [3.474, 3.474, 2.334]], "species": ["Be", "Be", "Mo", "Mo", "Tc", "Tc", "Tc", "Tc"], "fractional_positions": [[0.500, 0.500, 0.000], [0.250, 0.750, 0.500], [0.000, 0.000, 0.000], [0.750, 0.250, 0.500], [0.546, 0.125, 0.250], [0.204, 0.625, 0.250], [0.375, 0.454, 0.750], [0.875, 0.796, 0.750]]}


4.
{"formula": "Tl2CdCl3F", "functional": "PBE", "state": "optimized geometry", "m_tot_mub_per_cell": 0.00, "mass_density_g_cm3": 5.49, "raw_formation_energy_ev_per_atom": -1.28, "space_group": "Immm (71)", "cell": [[4.459, 0.000, 0.000], [0.000, 5.274, 0.000], [-2.229, -2.637, 8.313]], "species": ["Tl", "Tl", "Cd", "Cl", "Cl", "Cl", "F"], "fractional_positions": [[0.646, 0.646, 0.292], [0.354, 0.354, 0.708], [0.000, 0.000, 0.000], [0.000, 0.500, 0.000], [0.160, 0.160, 0.321], [0.840, 0.840, 0.679], [0.500, 0.000, 0.000]]}


| no. | density of states at the Fermi level (states/eV per cell) |
| --- | --- |
| 1 | 3.14 |
| 2 | 4.02 |
| 3 | 5.39 |
| 4 | 0.00 |